Version A
Here is a relaxed KPd3Ru crystal from the Alexandria database. Energies are from GGA-PBE.

Cell and atoms, written as POSCAR:
```
KPd3Ru
1.0
4.924 0.000 0.000
0.000 4.924 0.000
0.000 0.000 4.924
K Pd Ru
1 3 1
Direct
0.000 0.000 0.000
0.000 0.500 0.500
0.500 0.000 0.500
0.500 0.500 0.000
0.500 0.500 0.500
```

Computed properties:
**Density**: 6.4 g/cm³
**Symmetry**: Pm-3m (221)
**Total moment**: 0.320 μB/atom
**Crystal system**: cubic


Version B
Here is a relaxed KPd3Ru crystal from the Alexandria database. Energies are from GGA-PBE.

Cell and atoms, written as POSCAR:
```
KPd3Ru
1.0
4.854 0.000 0.000
0.000 4.854 0.000
0.000 0.000 4.854
K Pd Ru
1 3 1
Direct
0.000 0.000 0.000
0.000 0.000 0.500
0.000 0.500 0.000
0.500 0.000 0.000
0.500 0.500 0.500
```

Computed properties:
**Density**: 6.7 g/cm³
**Symmetry**: Pm-3m (221)
**Total moment**: 0.596 μB/atom
**Crystal system**: cubic


Short version: version A is the most stable of them.